(1)
A geometry-optimized Pr3ErF structure. Source: Alexandria, functional PBE. Values from VASP.

Cell and atoms, written as Quantum ESPRESSO input:
```
&SYSTEM
  ibrav = 0, nat = 5, ntyp = 3
/
ATOMIC_SPECIES
Pr 140.91 Pr.upf
Er 167.26 Er.upf
F 19.00 F.upf
CELL_PARAMETERS angstrom
5.205 0.000 0.000
0.000 5.205 0.000
0.000 0.000 5.205
ATOMIC_POSITIONS crystal
Pr 0.000 0.000 0.500
Pr 0.000 0.500 0.000
Pr 0.500 0.000 0.000
Er 0.500 0.500 0.500
F 0.000 0.000 0.000
```

---

(2)
! Sn4HgPb7, optimized geometry, DFT PBE; values from VASP
&SYSTEM
  ibrav = 0, nat = 12, ntyp = 3
/
ATOMIC_SPECIES
Sn 118.71 Sn.upf
Hg 200.59 Hg.upf
Pb 207.20 Pb.upf
CELL_PARAMETERS angstrom
6.306 -2.965 0.000
6.306 2.965 0.000
-6.115 0.000 10.264
ATOMIC_POSITIONS crystal
Sn 0.062 0.062 0.262
Sn 0.214 0.214 0.814
Sn 0.786 0.786 0.186
Sn 0.938 0.938 0.738
Hg 0.500 0.500 0.500
Pb 0.000 0.000 0.500
Pb 0.170 0.170 0.071
Pb 0.298 0.298 0.588
Pb 0.457 0.457 0.111
Pb 0.543 0.543 0.889
Pb 0.702 0.702 0.412
Pb 0.830 0.830 0.929
! DFT formation energy: 0.09 eV per atom

---

(3)
A geometry-optimized Tb2PbI structure. Source: Alexandria, functional PBE. Values from VASP.

Cell and atoms, written as Quantum ESPRESSO input:
```
&SYSTEM
  ibrav = 0, nat = 4, ntyp = 3
/
ATOMIC_SPECIES
Tb 158.93 Tb.upf
Pb 207.20 Pb.upf
I 126.90 I.upf
CELL_PARAMETERS angstrom
2.281 1.317 7.085
-2.281 1.317 7.085
0.000 -2.634 7.085
ATOMIC_POSITIONS crystal
Tb 0.240 0.240 0.240
Tb 0.760 0.760 0.760
Pb 0.500 0.500 0.500
I 0.000 0.000 0.000
```

---

no.,magnetic moment (μB/cell),theoretical density (Mg/m³),E_tot (eV/cell)
1,0.00,7.170,-25.68
2,0.00,9.197,-41.22
3,0.00,8.475,-17.08